# ZrTc2Os

A relaxed ZrTc2Os crystal (PBE, the Alexandria database).

The formation energy comes out at 0.064 eV per atom. Its distance to the lowest polymorph of the same formula is 0.25 eV/f.u. Its size of the total moment is 0.000 μB/atom.

The space group is Pmm2 (No. 25) and the conventional cell measures 2.887, 3.770 and 6.024 Å, with angles of 90.00, 90.00 and 90.00 degrees. The distinct sites, in fractional coordinates, are Zr at (0.000, 0.000, 0.000), Tc at (0.000, 0.000, 0.495), Tc at (0.500, 0.500, 0.715) and Os at (0.500, 0.500, 0.280).